(1)
A plane-wave DFT calculation with PBE was carried out for TmMg6Cd2 after structural relaxation.

Results
- ρ: 4.3 Mg/m³
- Excess energy over the best structure of this formula in the dataset: 0 meV/atom
- Energy relative to the elements: -0.66 eV per formula unit
- DFT total energy: -1.836 eV per atom

POSCAR file:
```
TmMg6Cd2
1.0
6.995 -2.125 0.000
6.995 2.125 0.000
-2.331 0.000 7.023
Tm Mg Cd
1 6 2
Cartesian
0.000 0.000 0.000
-0.050 0.000 4.595
2.328 0.000 2.377
2.230 0.000 7.022
9.430 0.000 0.001
9.332 0.000 4.646
11.710 0.000 2.428
4.592 0.000 4.698
7.068 0.000 2.325
```

(2)
A plane-wave DFT calculation with PBE was carried out for TmMg9Cd3 after structural relaxation.

Results
- ρ: 4.1 Mg/m³
- Energy relative to the elements: -0.97 eV per formula unit
- DFT total energy: -1.734 eV per atom

POSCAR file:
```
TmMg9Cd3
1.0
2.942 -7.087 0.000
2.942 7.087 0.000
-2.825 0.000 7.118
Tm Mg Cd
1 9 3
Cartesian
0.000 0.000 0.000
-1.413 0.000 3.559
0.088 4.598 4.646
0.096 1.503 5.624
2.972 4.598 2.472
2.964 1.503 1.495
0.096 -1.503 5.624
0.088 -4.598 4.646
2.964 -1.503 1.495
2.972 -4.598 2.472
1.471 3.544 0.000
1.471 -3.544 0.000
1.530 0.000 3.559
```

(3)
A plane-wave DFT calculation with PBE was carried out for TmMg4Cd after structural relaxation.

Results
- ρ: 4.3 Mg/m³
- Excess energy over the best structure of this formula in the dataset: 72 meV/atom
- Energy relative to the elements: 0.22 eV per formula unit
- DFT total energy: -1.925 eV per atom

POSCAR file:
```
TmMg4Cd
1.0
0.000 4.173 4.173
4.173 0.000 4.173
4.173 4.173 0.000
Tm Mg Cd
1 4 1
Cartesian
0.000 0.000 0.000
5.221 3.126 3.126
3.126 5.221 3.126
3.126 3.126 5.221
5.221 5.221 5.221
2.087 2.087 2.087
```